VASP calculation (PBE-GGA) on a relaxed Ba3LiRh crystal.

Lattice parameters (Å, degrees): 15.1759 15.1759 6.6503 90.00 90.00 120.00
Space group P6_3 (No. 173)
One atom of each set of equivalent atoms:
1 Ba 0.0006 0.1695 0.4964
2 Ba 0.1633 0.6663 0.0000
3 Ba 0.1647 0.4977 0.5000
4 Li 0.0001 0.3333 0.9980
5 Rh 0.0000 0.0000 0.2463
6 Rh 0.3333 0.6667 0.2478
7 Rh 0.3333 0.6667 0.7522

- Excess energy over the best structure of this formula in the dataset: 0.000 eV per formula unit
- Formation energy: -0.102 eV per atom
- V: 1326 Å³/cell
- Energy: -93.3 eV per cell